This record from Alexandria describes Ba2YZnO after structural relaxation. The functional is PBE.

It has space group P4/mmm (No. 123), with a = 6.5689 Å, b = 6.5689 Å, c = 5.1496 Å, α = 90.00°, β = 90.00° and γ = 90.00°. Symmetry generates all atoms from Ba at (0.0000, 0.5000, 0.0000), Y at (0.0000, 0.0000, 0.0000), Zn at (0.0000, 0.0000, 0.5000) and O at (0.5000, 0.5000, 0.5000).

Its density of states at the Fermi level is 6.23 states/eV/f.u. The calculated density is 3.325 g cm⁻³. The calculation puts the uncorrected formation energy at 0.698 eV/atom.


This record from Alexandria describes SiB after structural relaxation. The functional is PBE.

It has space group I4/m (No. 87), with a = 8.4419 Å, b = 8.4419 Å, c = 3.3704 Å, α = 90.00°, β = 90.00° and γ = 90.00°. Symmetry generates all atoms from Si at (0.1375, 0.3020, 0.0000) and B at (0.0950, 0.7264, 0.0000).

Its density of states at the Fermi level is 0.90 states/eV/f.u. The calculated density is 2.151 g cm⁻³. Its energy above the most stable polymorph in this dataset is 338 meV/atom. The calculation puts the uncorrected formation energy at 0.537 eV/atom.


This record from Alexandria describes BaTiCrAu2 after structural relaxation. The functional is PBE.

It has space group P4/mmm (No. 123), with a = 5.2616 Å, b = 5.2616 Å, c = 4.5800 Å, α = 90.00°, β = 90.00° and γ = 90.00°. Symmetry generates all atoms from Ba at (0.0000, 0.0000, 0.0000), Ti at (0.5000, 0.5000, 0.5000), Cr at (0.5000, 0.5000, 0.0000) and Au at (0.0000, 0.5000, 0.5000).

Its density of states at the Fermi level is 3.11 states/eV/f.u. The calculated density is 8.265 g cm⁻³. The raw total energy is -25.21 eV per formula unit.